1.
VASP calculation (meta-GGA SCAN) on a crystal of BaTl3N relaxed with PBEsol.

Unit cell a=6.477 b=6.477 c=6.477 alpha=90.00 beta=90.00 gamma=90.00
Sites, in units of the cell vectors:
Tl  0.000  0.500  0.000
Tl  0.500  0.000  0.000
Tl  0.000  0.000  0.500
N  0.500  0.500  0.500
Ba  0.000  0.000  0.000

Properties
E_form (uncorrected) = 144 kJ per mole of atoms
Calculated total energy = -51.70 eV/atom
Mass density = 4.7 g cm⁻³

---

2.
VASP calculation (meta-GGA SCAN) on a crystal of Ti3MoW relaxed with PBEsol.

Unit cell a=4.614 b=4.614 c=4.614 alpha=90.00 beta=90.00 gamma=90.00
Sites, in units of the cell vectors:
Ti  0.000  0.500  0.000
Ti  0.000  0.000  0.500
Ti  0.500  0.000  0.000
Mo  0.500  0.500  0.500
W  0.000  0.000  0.000

Properties
Calculated total energy = -29.30 eV/atom
Formation energy = 1229 meV per atom
Mass density = 7.2 g cm⁻³